Record 1
# PaSnPd (GGA-PBE, relaxed)
data_PaSnPd
_space_group_name_H-M_alt 'I 4 m m'
_space_group_IT_number 107
_space_group_name_Hall 'I 4 -2'
_cell_length_a 3.3688
_cell_length_b 3.3688
_cell_length_c 11.5997
_cell_angle_alpha 90.00
_cell_angle_beta 90.00
_cell_angle_gamma 90.00
loop_
_atom_site_label
_atom_site_fract_x
_atom_site_fract_y
_atom_site_fract_z
Pa1 0.0000 0.0000 0.0000
Sn1 0.0000 0.0000 0.3015
Pd1 0.0000 0.0000 0.6538
# VASP energy = -39.68 eV per cell


Record 2
# Tl3BiI6 (GGA-PBE, relaxed)
data_Tl3BiI6
_space_group_name_H-M_alt 'P 1 21/c 1'
_space_group_IT_number 14
_cell_length_a 8.2288
_cell_length_b 9.1702
_cell_length_c 14.1676
_cell_angle_alpha 90.00
_cell_angle_beta 121.75
_cell_angle_gamma 90.00
loop_
_space_group_symop_operation_xyz
'x,y,z'
'-x,-y,-z'
'-x,y+1/2,-z+1/2'
'x,-y+1/2,z+1/2'
loop_
_atom_site_label
_atom_site_fract_x
_atom_site_fract_y
_atom_site_fract_z
Tl1 0.0000 0.0000 0.0000
Tl2 0.1930 0.0952 0.7336
Bi1 0.5000 0.0000 0.5000
I1 0.1362 0.1707 0.4475
I2 0.2638 0.7108 0.4217
I3 0.4093 0.0596 0.2611
# Offset from the most stable computed form = 2.9 meV per atom
# ΔE_f (raw) = -0.575 eV/atom